[1]
Computed, not measured: a relaxed structure of SrNbReMo2 at the GGA-PBE level of DFT.

Summary:
Energy relative to the elements ... 1874 meV per atom
Electronic total energy ... -36.5 eV for the cell shown

Cell: 4.7819 4.7819 5.2680 Å, 90.00 90.00 90.00°
Last column: nearest neighbours and their distance in Å.
Space group P4/mmm (No. 123)
One atom of each set of equivalent atoms:
Sr  0.0000  0.0000  0.0000  2 Re 2.63
Nb  0.5000  0.5000  0.0000  4 Sr 3.38, 8 Mo 3.56
Re  0.0000  0.0000  0.5000  4 Mo 2.39, 2 Sr 2.63
Mo  0.0000  0.5000  0.5000  2 Re 2.39


[2]
Computed, not measured: a relaxed structure of TaNbReMo at the GGA-PBE level of DFT.

Summary:
Energy relative to the elements ... -291 meV per atom
Electronic total energy ... -185.5 eV for the cell shown

Cell: 6.4288 6.4288 6.4288 Å, 90.00 90.00 90.00°
Last column: nearest neighbours and their distance in Å.
Space group F-43m (No. 216)
One atom of each set of equivalent atoms:
Ta  0.0000  0.0000  0.0000  4 Mo 2.78, 4 Re 2.78
Nb  0.0000  0.0000  0.5000  4 Re 2.78, 4 Mo 2.78
Re  0.2500  0.2500  0.2500  4 Ta 2.78, 4 Nb 2.78
Mo  0.2500  0.2500  0.7500  4 Nb 2.78, 4 Ta 2.78


Which of these has the lowest electronic total energy?
TaNbReMo


Look up the energy relative to the elements of the first one.
1874 meV per atom